Entry from the Alexandria database: crystalline LiTeO2 at its relaxed geometry (PBE).

Cell and atoms, written as extended XYZ:
```
8
Lattice="4.5719 0.0000 0.0000 0.0000 4.5719 0.0000 2.2859 2.2859 5.7515" Properties=species:S:1:pos:R:3 pbc="T T T"
O 3.3999 1.1430 1.4379
O 5.7148 5.6858 4.3136
O 1.1720 3.4289 1.4379
O 3.4289 3.4579 4.3136
Te 0.0000 0.0000 0.0000
Te 4.5719 2.2859 2.8757
Li 2.2859 2.2859 0.0000
Li 2.2859 4.5719 2.8757
```

## Properties
Its space-group type is I-42d. The energy relative to the elements, uncorrected is -0.9250 eV per atom.


Entry from the Alexandria database: crystalline CoPbCl2 at its relaxed geometry (PBE).

Cell and atoms, written as extended XYZ:
```
4
Lattice="-3.3020 -0.5763 0.1038 0.4983 -3.0774 -1.2359 0.7289 -2.8466 7.3819" Properties=species:S:1:pos:R:3 pbc="T T T"
Pb -0.8681 -3.9113 4.8393
Cl 0.7080 -2.7647 7.1695
Cl -1.1483 -2.8169 2.0014
Co 0.3271 -1.2773 3.3123
```

## Properties
Its space-group type is P4mm. The energy above the most stable polymorph in this dataset is 0.285 eV/atom. The energy relative to the elements, uncorrected is -0.1124 eV per atom.


Entry from the Alexandria database: crystalline LiGeAsPd at its relaxed geometry (PBE).

Cell and atoms, written as extended XYZ:
```
4
Lattice="-3.3189 0.4086 3.0129 0.0890 -2.4274 3.7894 0.7796 2.0176 3.9473" Properties=species:S:1:pos:R:3 pbc="T T T"
Li -1.2251 -0.0006 5.3748
As -1.8377 -0.0009 8.0622
Pd 0.0000 0.0000 0.0000
Ge -0.6126 -0.0003 2.6874
```

## Properties
Its space-group type is F-43m. As for the total energy: -17.73 eV/f.u.


Entry from the Alexandria database: crystalline Rb2CdBi2 at its relaxed geometry (PBE).

Cell and atoms, written as extended XYZ:
```
10
Lattice="10.8741 0.0000 0.0000 0.0000 10.8741 0.0000 0.0000 0.0000 3.7120" Properties=species:S:1:pos:R:3 pbc="T T T"
Bi 6.4853 9.8259 1.8560
Bi 1.0482 6.4853 1.8560
Bi 4.3888 1.0482 1.8560
Bi 9.8259 4.3888 1.8560
Cd 5.4371 5.4371 0.0000
Cd 0.0000 0.0000 0.0000
Rb 3.3093 8.7464 0.0000
Rb 8.7464 7.5649 0.0000
Rb 7.5649 2.1278 0.0000
Rb 2.1278 3.3093 0.0000
```

## Properties
Its space-group type is P4/mbm. The energy above the most stable polymorph in this dataset is 0.178 eV/atom.


Entry from the Alexandria database: crystalline Hf5Zn4Fe at its relaxed geometry (PBE).

Cell and atoms, written as extended XYZ:
```
10
Lattice="-0.5309 3.1995 -0.3587 -2.4009 -0.1512 2.2045 10.8306 3.1436 12.0114" Properties=species:S:1:pos:R:3 pbc="T T T"
Zn 6.5141 1.8907 7.2243
Zn 2.1115 0.6129 2.3417
Zn 8.7191 2.5307 9.6697
Zn 4.3165 1.2529 4.7871
Hf 6.1552 3.7362 9.3749
Hf 8.3749 4.3804 11.8366
Hf 3.9494 3.0959 6.9286
Hf -0.4761 1.8114 2.0206
Hf 1.7435 2.4557 4.4823
Fe 0.0000 0.0000 0.0000
```

## Properties
Its space-group type is P4/mmm. As for the total energy: -65.50 eV/f.u.


Entry from the Alexandria database: crystalline Tl2ReHg at its relaxed geometry (PBE).

Cell and atoms, written as extended XYZ:
```
4
Lattice="-1.2832 2.6212 -0.1728 -2.4593 -1.2663 -0.9461 -3.6435 -1.0652 10.8973" Properties=species:S:1:pos:R:3 pbc="T T T"
Tl -3.5054 -1.0248 10.4842
Tl -1.9599 -0.5730 5.8618
Hg -2.7821 0.4111 2.1649
Re -4.6039 -0.1215 7.6136
```

## Properties
Its space-group type is P4/mmm. The energy above the most stable polymorph in this dataset is 0.092 eV/atom.


no.,magnetic moment (μB per cell)
1,0.0
2,1.8
3,0.0
4,0.0
5,0.5
6,0.0